1.
Entry from the Alexandria database: a relaxed Cs3AgS2 crystal (GGA-PBE).

Cell: 8.3222 11.8134 11.2013 Å, 90.00 110.90 90.00°
Positions (direct):
Cs (0.2181, 0.0188, 0.3818)
Cs (0.2181, 0.4812, 0.8818)
Cs (0.2511, 0.0523, 0.9855)
Cs (0.2511, 0.4477, 0.4855)
Cs (0.2752, 0.7193, 0.1872)
Cs (0.2752, 0.7807, 0.6872)
Cs (0.7248, 0.2193, 0.3128)
Cs (0.7248, 0.2807, 0.8128)
Cs (0.7489, 0.5523, 0.5145)
Cs (0.7489, 0.9477, 0.0145)
Cs (0.7819, 0.5188, 0.1182)
Cs (0.7819, 0.9812, 0.6182)
Ag (0.2117, 0.1771, 0.6732)
Ag (0.2117, 0.3229, 0.1732)
Ag (0.7883, 0.6771, 0.8268)
Ag (0.7883, 0.8229, 0.3268)
S (0.0233, 0.6981, 0.3768)
S (0.0233, 0.8019, 0.8768)
S (0.4453, 0.0498, 0.7241)
S (0.4453, 0.4502, 0.2241)
S (0.5547, 0.5498, 0.7759)
S (0.5547, 0.9502, 0.2759)
S (0.9767, 0.1981, 0.1232)
S (0.9767, 0.3019, 0.6232)

Computed properties:
- space-group type = No. 14
- raw total energy (eV/atom) = -3.175

***

2.
Entry from the Alexandria database: a relaxed CsAgS crystal (GGA-PBE).

Cell: 4.4122 6.9422 7.0974 Å, 103.67 90.38 108.24°
Positions (direct):
Cs (0.0898, 0.1898, 0.3252)
Cs (0.9102, 0.8102, 0.6748)
Ag (0.2021, 0.4037, 0.8817)
Ag (0.7979, 0.5963, 0.1183)
S (0.3627, 0.7248, 0.2543)
S (0.6373, 0.2752, 0.7457)

Computed properties:
- space-group type = No. 2
- raw total energy (eV/atom) = -3.230

***

3.
Entry from the Alexandria database: a relaxed CsAgS2 crystal (GGA-PBE).

Cell: 9.0768 9.0768 9.0768 Å, 25.53 25.53 25.53°
Positions (direct):
Cs (0.0000, 0.0000, 0.0000)
Ag (0.5000, 0.5000, 0.5000)
S (0.1203, 0.1203, 0.1203)
S (0.8797, 0.8797, 0.8797)

Computed properties:
- space-group type = No. 166
- raw total energy (eV/atom) = -2.896

***

4.
Entry from the Alexandria database: a relaxed CsAgS crystal (GGA-PBE).

Cell: 6.6310 6.6310 6.6310 Å, 146.18 146.18 48.59°
Positions (direct):
Cs (0.0000, 0.0000, 0.0000)
Ag (0.2614, 0.2614, 0.0000)
S (0.7235, 0.7235, 0.0000)

Computed properties:
- space-group type = No. 107
- raw total energy (eV/atom) = -2.900

***

5.
Entry from the Alexandria database: a relaxed CsAgS2 crystal (GGA-PBE).

Cell: 5.3226 5.3226 5.3226 Å, 60.00 60.00 60.00°
Positions (direct):
Cs (0.0000, 0.0000, 0.0000)
Ag (0.5000, 0.5000, 0.5000)
S (0.2500, 0.2500, 0.2500)
S (0.7500, 0.7500, 0.7500)

Computed properties:
- space-group type = No. 225
- raw total energy (eV/atom) = -2.705

***

6.
Entry from the Alexandria database: a relaxed Cs4Ag2S crystal (GGA-PBE).

Cell: 10.8716 10.8716 10.8716 Å, 144.30 144.30 51.38°
Positions (direct):
Cs (0.0000, 0.5000, 0.5000)
Cs (0.1673, 0.1673, 0.0000)
Cs (0.5000, 0.0000, 0.5000)
Cs (0.8327, 0.8327, 0.0000)
Ag (0.3628, 0.3628, 0.0000)
Ag (0.6372, 0.6372, 0.0000)
S (0.0000, 0.0000, 0.0000)

Computed properties:
- space-group type = No. 139
- raw total energy (eV/atom) = -2.220

***

7.
Entry from the Alexandria database: a relaxed Cs2AgS2 crystal (GGA-PBE).

Cell: 8.2369 7.0820 13.0818 Å, 90.00 90.00 90.00°
Positions (direct):
Cs (0.0129, 0.2500, 0.2160)
Cs (0.1878, 0.7500, 0.4552)
Cs (0.3122, 0.2500, 0.9552)
Cs (0.4871, 0.7500, 0.7160)
Cs (0.5129, 0.2500, 0.2840)
Cs (0.6878, 0.7500, 0.0448)
Cs (0.8122, 0.2500, 0.5448)
Cs (0.9871, 0.7500, 0.7840)
Ag (0.2352, 0.7500, 0.1507)
Ag (0.2648, 0.2500, 0.6507)
Ag (0.7352, 0.7500, 0.3493)
Ag (0.7648, 0.2500, 0.8493)
S (0.0306, 0.2500, 0.7661)
S (0.2238, 0.2500, 0.4709)
S (0.2762, 0.7500, 0.9709)
S (0.4694, 0.7500, 0.2661)
S (0.5306, 0.2500, 0.7339)
S (0.7238, 0.2500, 0.0291)
S (0.7762, 0.7500, 0.5291)
S (0.9694, 0.7500, 0.2339)

Computed properties:
- space-group type = No. 62
- raw total energy (eV/atom) = -3.160

***

8.
Entry from the Alexandria database: a relaxed CsAg12S6 crystal (GGA-PBE).

Cell: 7.5627 7.5627 7.5627 Å, 97.23 97.23 97.23°
Positions (direct):
Cs (0.0000, 0.0000, 0.0000)
Ag (0.1500, 0.4181, 0.4181)
Ag (0.1807, 0.5000, 0.8193)
Ag (0.1807, 0.8193, 0.5000)
Ag (0.4181, 0.1500, 0.4181)
Ag (0.4181, 0.4181, 0.1500)
Ag (0.5000, 0.1807, 0.8193)
Ag (0.5000, 0.8193, 0.1807)
Ag (0.5819, 0.5819, 0.8500)
Ag (0.5819, 0.8500, 0.5819)
Ag (0.8193, 0.1807, 0.5000)
Ag (0.8193, 0.5000, 0.1807)
Ag (0.8500, 0.5819, 0.5819)
S (0.1833, 0.1833, 0.6135)
S (0.1833, 0.6135, 0.1833)
S (0.3865, 0.8167, 0.8167)
S (0.6135, 0.1833, 0.1833)
S (0.8167, 0.3865, 0.8167)
S (0.8167, 0.8167, 0.3865)

Computed properties:
- space-group type = No. 166
- raw total energy (eV/atom) = -3.265

***

9.
Entry from the Alexandria database: a relaxed Cs2AgS2 crystal (GGA-PBE).

Cell: 7.5910 7.5910 7.5910 Å, 126.32 126.32 79.36°
Positions (direct):
Cs (0.2500, 0.7500, 0.5000)
Cs (0.7500, 0.2500, 0.5000)
Ag (0.0000, 0.0000, 0.0000)
S (0.1968, 0.1968, 0.0000)
S (0.8032, 0.8032, 0.0000)

Computed properties:
- space-group type = No. 139
- raw total energy (eV/atom) = -3.162

***

10.
Entry from the Alexandria database: a relaxed Cs2Ag3S4 crystal (GGA-PBE).

Cell: 9.5151 8.2256 6.5770 Å, 79.14 58.10 42.75°
Positions (direct):
Cs (0.1664, 0.1664, 0.8336)
Cs (0.8336, 0.8336, 0.1664)
Ag (0.0000, 0.0000, 0.5000)
Ag (0.5000, 0.5000, 0.0000)
Ag (0.5000, 0.5000, 0.5000)
S (0.2402, 0.5363, 0.4637)
S (0.4637, 0.7598, 0.2402)
S (0.5363, 0.2402, 0.7598)
S (0.7598, 0.4637, 0.5363)

Computed properties:
- space-group type = No. 69
- raw total energy (eV/atom) = -3.333

***

11.
Entry from the Alexandria database: a relaxed CsAgS crystal (GGA-PBE).

Cell: 4.4427 4.4427 5.3349 Å, 90.00 90.00 120.00°
Positions (direct):
Cs (0.0000, 0.0000, 0.0000)
Ag (0.3333, 0.6667, 0.5000)
S (0.6667, 0.3333, 0.5000)

Computed properties:
- space-group type = No. 187
- raw total energy (eV/atom) = -3.246

***

12.
Entry from the Alexandria database: a relaxed Cs5Ag2S5 crystal (GGA-PBE).

Cell: 8.3183 8.3183 11.6859 Å, 93.14 93.14 31.95°
Positions (direct):
Cs (0.0000, 0.0000, 0.0000)
Cs (0.1397, 0.1397, 0.5850)
Cs (0.2901, 0.2901, 0.8602)
Cs (0.7099, 0.7099, 0.1398)
Cs (0.8603, 0.8603, 0.4150)
Ag (0.4920, 0.4920, 0.7131)
Ag (0.5080, 0.5080, 0.2869)
S (0.0778, 0.0778, 0.2866)
S (0.3761, 0.3761, 0.1590)
S (0.5000, 0.5000, 0.5000)
S (0.6239, 0.6239, 0.8410)
S (0.9222, 0.9222, 0.7134)

Computed properties:
- space-group type = No. 12
- raw total energy (eV/atom) = -3.128

***

13.
Entry from the Alexandria database: a relaxed Cs3Ag12S5 crystal (GGA-PBE).

Cell: 14.8598 14.8598 14.8598 Å, 109.47 109.47 109.47°
Positions (direct):
Cs (0.1250, 0.2500, 0.3750)
Cs (0.1250, 0.3750, 0.7500)
Cs (0.2500, 0.3750, 0.1250)
Cs (0.2500, 0.8750, 0.6250)
Cs (0.3750, 0.1250, 0.2500)
Cs (0.3750, 0.7500, 0.1250)
Cs (0.6250, 0.2500, 0.8750)
Cs (0.6250, 0.8750, 0.7500)
Cs (0.7500, 0.1250, 0.3750)
Cs (0.7500, 0.6250, 0.8750)
Cs (0.8750, 0.6250, 0.2500)
Cs (0.8750, 0.7500, 0.6250)
Ag (0.0194, 0.5750, 0.8652)
Ag (0.0194, 0.9444, 0.1542)
Ag (0.0556, 0.7098, 0.0750)
Ag (0.0556, 0.8458, 0.9806)
Ag (0.0750, 0.0556, 0.7098)
Ag (0.0750, 0.5194, 0.3652)
Ag (0.1348, 0.6542, 0.7098)
Ag (0.1348, 0.9806, 0.4250)
Ag (0.1542, 0.0194, 0.9444)
Ag (0.1542, 0.6348, 0.2098)
Ag (0.2098, 0.1542, 0.6348)
Ag (0.2098, 0.5556, 0.5750)
Ag (0.2902, 0.8652, 0.3458)
Ag (0.2902, 0.9250, 0.9444)
Ag (0.3458, 0.2902, 0.8652)
Ag (0.3458, 0.5556, 0.4806)
Ag (0.3652, 0.0750, 0.5194)
Ag (0.3652, 0.7902, 0.8458)
Ag (0.4250, 0.1348, 0.9806)
Ag (0.4250, 0.7902, 0.4444)
Ag (0.4444, 0.4250, 0.7902)
Ag (0.4444, 0.5194, 0.6542)
Ag (0.4806, 0.3458, 0.5556)
Ag (0.4806, 0.6348, 0.9250)
Ag (0.5194, 0.3652, 0.0750)
Ag (0.5194, 0.6542, 0.4444)
Ag (0.5556, 0.4806, 0.3458)
Ag (0.5556, 0.5750, 0.2098)
Ag (0.5750, 0.2098, 0.5556)
Ag (0.5750, 0.8652, 0.0194)
Ag (0.6348, 0.2098, 0.1542)
Ag (0.6348, 0.9250, 0.4806)
Ag (0.6542, 0.4444, 0.5194)
Ag (0.6542, 0.7098, 0.1348)
Ag (0.7098, 0.0750, 0.0556)
Ag (0.7098, 0.1348, 0.6542)
Ag (0.7902, 0.4444, 0.4250)
Ag (0.7902, 0.8458, 0.3652)
Ag (0.8458, 0.3652, 0.7902)
Ag (0.8458, 0.9806, 0.0556)
Ag (0.8652, 0.0194, 0.5750)
Ag (0.8652, 0.3458, 0.2902)
Ag (0.9250, 0.4806, 0.6348)
Ag (0.9250, 0.9444, 0.2902)
Ag (0.9444, 0.1542, 0.0194)
Ag (0.9444, 0.2902, 0.9250)
Ag (0.9806, 0.0556, 0.8458)
Ag (0.9806, 0.4250, 0.1348)
S (0.0000, 0.0000, 0.0000)
S (0.0000, 0.0000, 0.5000)
S (0.0000, 0.5000, 0.0000)
S (0.0000, 0.5000, 0.5000)
S (0.1250, 0.7500, 0.8750)
S (0.1250, 0.8750, 0.2500)
S (0.2500, 0.1250, 0.8750)
S (0.2500, 0.6250, 0.3750)
S (0.3750, 0.2500, 0.6250)
S (0.3750, 0.6250, 0.7500)
S (0.5000, 0.0000, 0.0000)
S (0.5000, 0.0000, 0.5000)
S (0.5000, 0.5000, 0.0000)
S (0.5000, 0.5000, 0.5000)
S (0.6250, 0.3750, 0.2500)
S (0.6250, 0.7500, 0.3750)
S (0.7500, 0.3750, 0.6250)
S (0.7500, 0.8750, 0.1250)
S (0.8750, 0.1250, 0.7500)
S (0.8750, 0.2500, 0.1250)

Computed properties:
- space-group type = No. 230
- raw total energy (eV/atom) = -2.896

***

14.
Entry from the Alexandria database: a relaxed CsAg3S3 crystal (GGA-PBE).

Cell: 7.1268 7.1268 7.1268 Å, 90.00 90.00 90.00°
Positions (direct):
Cs (0.0000, 0.0000, 0.0000)
Cs (0.5000, 0.5000, 0.5000)
Ag (0.0000, 0.2500, 0.5000)
Ag (0.0000, 0.7500, 0.5000)
Ag (0.2500, 0.5000, 0.0000)
Ag (0.5000, 0.0000, 0.2500)
Ag (0.5000, 0.0000, 0.7500)
Ag (0.7500, 0.5000, 0.0000)
S (0.0000, 0.5000, 0.2500)
S (0.0000, 0.5000, 0.7500)
S (0.2500, 0.0000, 0.5000)
S (0.5000, 0.2500, 0.0000)
S (0.5000, 0.7500, 0.0000)
S (0.7500, 0.0000, 0.5000)

Computed properties:
- space-group type = No. 223
- raw total energy (eV/atom) = -3.382

***

15.
Entry from the Alexandria database: a relaxed CsAgS14 crystal (GGA-PBE).

Cell: 11.7825 11.7825 11.7825 Å, 141.16 98.69 94.02°
Positions (direct):
Cs (0.3082, 0.0582, 0.2500)
Cs (0.6918, 0.9418, 0.7500)
Ag (0.0000, 0.0000, 0.5000)
Ag (0.0000, 0.5000, 0.0000)
S (0.0037, 0.6407, 0.3630)
S (0.0074, 0.1402, 0.8672)
S (0.0087, 0.3564, 0.1599)
S (0.0087, 0.8489, 0.6523)
S (0.2224, 0.3593, 0.8630)
S (0.2270, 0.8598, 0.3672)
S (0.2827, 0.4514, 0.3535)
S (0.2827, 0.9291, 0.8313)
S (0.2868, 0.5993, 0.6875)
S (0.3035, 0.1511, 0.6599)
S (0.3035, 0.6436, 0.1523)
S (0.4021, 0.0709, 0.8535)
S (0.4021, 0.5486, 0.3313)
S (0.4118, 0.5993, 0.8125)
S (0.5882, 0.4007, 0.1875)
S (0.5979, 0.4514, 0.6687)
S (0.5979, 0.9291, 0.1465)
S (0.6965, 0.3564, 0.8477)
S (0.6965, 0.8489, 0.3401)
S (0.7132, 0.4007, 0.3125)
S (0.7173, 0.0709, 0.1687)
S (0.7173, 0.5486, 0.6465)
S (0.7730, 0.1402, 0.6328)
S (0.7776, 0.6407, 0.1370)
S (0.9913, 0.1511, 0.3477)
S (0.9913, 0.6436, 0.8401)
S (0.9926, 0.8598, 0.1328)
S (0.9963, 0.3593, 0.6370)

Computed properties:
- space-group type = No. 74
- raw total energy (eV/atom) = -3.616

***

16.
Entry from the Alexandria database: a relaxed Cs2Ag2SbS4 crystal (GGA-PBE).

Cell: 8.1107 8.1107 8.1543 Å, 109.37 109.37 29.78°
Positions (direct):
Cs (0.1349, 0.1349, 0.0604)
Cs (0.8651, 0.8651, 0.9396)
Ag (0.3138, 0.3138, 0.5144)
Ag (0.6862, 0.6862, 0.4856)
Sb (0.0000, 0.0000, 0.5000)
S (0.1852, 0.1852, 0.6701)
S (0.4841, 0.4841, 0.7128)
S (0.5159, 0.5159, 0.2872)
S (0.8148, 0.8148, 0.3299)

Computed properties:
- space-group type = No. 12
- raw total energy (eV/atom) = -3.610

***

17.
Entry from the Alexandria database: a relaxed CsAgSbS3 crystal (GGA-PBE).

Cell: 7.4973 7.4973 7.1933 Å, 90.00 90.00 121.99°
Positions (direct):
Cs (0.2377, 0.7623, 0.7500)
Cs (0.7623, 0.2377, 0.2500)
Ag (0.0593, 0.9407, 0.2500)
Ag (0.9407, 0.0593, 0.7500)
Sb (0.4512, 0.5488, 0.2500)
Sb (0.5488, 0.4512, 0.7500)
S (0.2407, 0.2407, 0.0000)
S (0.2407, 0.2407, 0.5000)
S (0.2710, 0.7290, 0.2500)
S (0.7290, 0.2710, 0.7500)
S (0.7593, 0.7593, 0.0000)
S (0.7593, 0.7593, 0.5000)

Computed properties:
- space-group type = No. 63
- raw total energy (eV/atom) = -3.830

***

no.,size of the total moment (μB/f.u.)
1,0.000
2,0.000
3,0.000
4,0.000
5,2.026
6,0.000
7,0.000
8,0.000
9,1.000
10,0.000
11,0.000
12,0.000
13,0.000
14,0.000
15,0.000
16,0.000
17,0.000